No. 1
A plane-wave DFT calculation with PBE-GGA was carried out for crystalline TbHg at its relaxed geometry.

Cell: 4.745 4.745 4.745 Å, 60.00 60.00 60.00°
Sites, in units of the cell vectors:
1 Tb 0.000 0.000 0.000
2 Hg 0.250 0.250 0.250

Computed properties:
total magnetic moment = 0.011 μB/cell
E_tot = -4.3 eV for the cell shown
SG = F-43m, No. 216



No. 2
A plane-wave DFT calculation with PBE-GGA was carried out for crystalline Sr2Hf2Ag at its relaxed geometry.

Cell: 3.434 3.434 26.741 Å, 90.00 90.00 120.00°
Sites, in units of the cell vectors:
1 Sr 0.333 0.667 0.094
2 Sr 0.333 0.667 0.406
3 Sr 0.667 0.333 0.594
4 Sr 0.667 0.333 0.906
5 Hf 0.333 0.667 0.697
6 Hf 0.333 0.667 0.803
7 Hf 0.667 0.333 0.197
8 Hf 0.667 0.333 0.303
9 Ag 0.000 0.000 0.000
10 Ag 0.000 0.000 0.500

Computed properties:
total magnetic moment = 0.004 μB/cell
E_tot = -46.4 eV for the cell shown
SG = P6_3/mmc, No. 194



No. 3
A plane-wave DFT calculation with PBE-GGA was carried out for crystalline PrSbIr at its relaxed geometry.

Cell: 7.457 4.614 8.032 Å, 90.00 90.00 90.00°
Sites, in units of the cell vectors:
1 Pr 0.014 0.250 0.192
2 Pr 0.486 0.750 0.692
3 Pr 0.514 0.250 0.308
4 Pr 0.986 0.750 0.808
5 Sb 0.176 0.250 0.587
6 Sb 0.324 0.750 0.087
7 Sb 0.676 0.250 0.913
8 Sb 0.824 0.750 0.413
9 Ir 0.201 0.750 0.410
10 Ir 0.299 0.250 0.910
11 Ir 0.701 0.750 0.090
12 Ir 0.799 0.250 0.590

Computed properties:
total magnetic moment = 0.004 μB/cell
E_tot = -81.2 eV for the cell shown
SG = Pnma, No. 62



No. 4
A plane-wave DFT calculation with PBE-GGA was carried out for crystalline Li2MgNiH6 at its relaxed geometry.

Cell: 4.887 4.887 4.887 Å, 60.00 60.00 60.00°
Sites, in units of the cell vectors:
1 Li 0.250 0.250 0.250
2 Li 0.750 0.750 0.750
3 Mg 0.000 0.000 0.000
4 Ni 0.500 0.500 0.500
5 H 0.270 0.270 0.730
6 H 0.270 0.730 0.270
7 H 0.270 0.730 0.730
8 H 0.730 0.270 0.270
9 H 0.730 0.270 0.730
10 H 0.730 0.730 0.270

Computed properties:
total magnetic moment = 0.002 μB/cell
E_tot = -32.5 eV for the cell shown
SG = Fm-3m, No. 225



Question: Look up the total magnetic moment of the fourth one.
Answer: 0.002 μB/cell



Question: Among the records above, which one has the highest total magnetic moment?
Answer: TbHg